The following is a GGA-PBE calculation of a geometry-optimized Li3Ga8Pd2 structure, from Alexandria.

abc: 5.2035 5.2035 10.3358
angles: 75.42 75.42 60.00
Atoms (fractional coordinates):
Pd  0.6352  0.6352  0.0943
Pd  0.3648  0.3648  0.9057
Li  0.8154  0.8154  0.5537
Li  0.0000  0.0000  0.0000
Li  0.1846  0.1846  0.4463
Ga  0.2691  0.7732  0.6887
Ga  0.7309  0.7309  0.3113
Ga  0.2691  0.2691  0.6887
Ga  0.2268  0.7309  0.3113
Ga  0.7732  0.2691  0.6887
Ga  0.7177  0.7177  0.8469
Ga  0.2823  0.2823  0.1531
Ga  0.7309  0.2268  0.3113

Properties
The value obtained for the energy relative to the elements is -206 meV per atom. The total energy comes out at -3.309 eV/atom.

=====

The following is a GGA-PBE calculation of a geometry-optimized PBrCl2O structure, from Alexandria.

abc: 5.1644 5.1644 5.0065
angles: 90.00 90.00 90.00
Atoms (fractional coordinates):
O  0.5000  0.5000  0.5000
Cl  0.0000  0.5000  0.0000
Cl  0.5000  0.0000  0.0000
P  0.0000  0.0000  0.5000
Br  0.0000  0.0000  0.0000

Properties
Its formation energy without anion corrections is 1401 meV/atom. The relative energy among the computed polymorphs is 0.994 eV per atom. The total energy comes out at -1.746 eV/atom.

=====

The following is a GGA-PBE calculation of a geometry-optimized Hf2TcHgH structure, from Alexandria.

abc: 4.5008 4.5008 3.8557
angles: 90.00 90.00 90.00
Atoms (fractional coordinates):
Hf  0.0000  0.5000  0.0000
Hf  0.5000  0.0000  0.0000
Tc  0.0000  0.0000  0.5000
Hg  0.5000  0.5000  0.5000
H  0.0000  0.0000  0.0000

Properties
The total energy comes out at -6.959 eV/atom.

=====

The following is a GGA-PBE calculation of a geometry-optimized CsRbTlCl3 structure, from Alexandria.

abc: 4.6888 8.2586 12.3657
angles: 102.38 90.00 90.00
Atoms (fractional coordinates):
Tl  0.7500  0.8626  0.3609
Tl  0.2500  0.1374  0.6391
Cl  0.2500  0.9531  0.8399
Cl  0.7500  0.0469  0.1601
Cl  0.7500  0.5571  0.1651
Cl  0.2500  0.4429  0.8349
Cl  0.2500  0.7428  0.4905
Cl  0.7500  0.2572  0.5095
Cs  0.7500  0.6537  0.6943
Cs  0.2500  0.3463  0.3057
Rb  0.2500  0.7668  0.0515
Rb  0.7500  0.2332  0.9485

Properties
Its formation energy without anion corrections is -1626 meV/atom. The total energy comes out at -3.248 eV/atom.

=====

Repeat the fourth record exactly.
The following is a GGA-PBE calculation of a geometry-optimized CsRbTlCl3 structure, from Alexandria.

abc: 4.6888 8.2586 12.3657
angles: 102.38 90.00 90.00
Atoms (fractional coordinates):
Tl  0.7500  0.8626  0.3609
Tl  0.2500  0.1374  0.6391
Cl  0.2500  0.9531  0.8399
Cl  0.7500  0.0469  0.1601
Cl  0.7500  0.5571  0.1651
Cl  0.2500  0.4429  0.8349
Cl  0.2500  0.7428  0.4905
Cl  0.7500  0.2572  0.5095
Cs  0.7500  0.6537  0.6943
Cs  0.2500  0.3463  0.3057
Rb  0.2500  0.7668  0.0515
Rb  0.7500  0.2332  0.9485

Properties
Its formation energy without anion corrections is -1626 meV/atom. The total energy comes out at -3.248 eV/atom.

=====

What did the first record say?
The following is a GGA-PBE calculation of a geometry-optimized Li3Ga8Pd2 structure, from Alexandria.

abc: 5.2035 5.2035 10.3358
angles: 75.42 75.42 60.00
Atoms (fractional coordinates):
Pd  0.6352  0.6352  0.0943
Pd  0.3648  0.3648  0.9057
Li  0.8154  0.8154  0.5537
Li  0.0000  0.0000  0.0000
Li  0.1846  0.1846  0.4463
Ga  0.2691  0.7732  0.6887
Ga  0.7309  0.7309  0.3113
Ga  0.2691  0.2691  0.6887
Ga  0.2268  0.7309  0.3113
Ga  0.7732  0.2691  0.6887
Ga  0.7177  0.7177  0.8469
Ga  0.2823  0.2823  0.1531
Ga  0.7309  0.2268  0.3113

Properties
The value obtained for the energy relative to the elements is -206 meV per atom. The total energy comes out at -3.309 eV/atom.